Here is crystalline CdTcP2 at its relaxed geometry from Alexandria via LeMat-Bulk. Energies are from PBE.

Computed properties:
The value obtained for the size of the total moment is 0.00 μB/f.u. For the theoretical density, the calculation gives 6.44 g cm⁻³. The calculation puts the formation energy at 0.095 eV per atom. For the density of states at the Fermi level, the calculation gives 0.54 states/eV per atom.

a = 3.677 Å, b = 4.124 Å, c = 4.631 Å
α = 90.00°, β = 90.00°, γ = 90.00°
Positions (direct):
1 Cd 0.000 0.000 0.000
2 Tc 0.500 0.000 0.500
3 P 0.500 0.500 0.237
4 P 0.500 0.500 0.763



Here is crystalline DyHo2Er at its relaxed geometry from Alexandria via LeMat-Bulk. Energies are from PBE.

Computed properties:
The value obtained for the size of the total moment is 0.00 μB/f.u. For the theoretical density, the calculation gives 8.77 g cm⁻³. The value obtained for the energy above the most stable polymorph in this dataset is 0.0 meV/atom. The calculation puts the formation energy at 0.002 eV per atom. For the density of states at the Fermi level, the calculation gives 1.58 states/eV per atom.

a = 5.567 Å, b = 7.203 Å, c = 6.226 Å
α = 90.00°, β = 90.00°, γ = 90.00°
Positions (direct):
1 Dy 0.250 0.250 0.166
2 Dy 0.750 0.750 0.834
3 Ho 0.250 0.000 0.667
4 Ho 0.250 0.500 0.667
5 Ho 0.750 0.000 0.333
6 Ho 0.750 0.500 0.333
7 Er 0.250 0.750 0.167
8 Er 0.750 0.250 0.833



Here is crystalline LaPtF3 at its relaxed geometry from Alexandria via LeMat-Bulk. Energies are from PBE.

Computed properties:
The value obtained for the size of the total moment is 0.42 μB/f.u. For the theoretical density, the calculation gives 6.32 g cm⁻³. The value obtained for the energy above the most stable polymorph in this dataset is 0.0 meV/atom. The calculation puts the uncorrected formation energy at -11.240 eV per formula unit. For the density of states at the Fermi level, the calculation gives 1.29 states/eV per atom.

a = 4.682 Å, b = 4.682 Å, c = 4.682 Å
α = 90.00°, β = 90.00°, γ = 90.00°
Positions (direct):
1 La 0.000 0.000 0.000
2 Pt 0.500 0.500 0.500
3 F 0.000 0.000 0.500
4 F 0.000 0.500 0.000
5 F 0.500 0.000 0.000



Here is crystalline Re3Te at its relaxed geometry from Alexandria via LeMat-Bulk. Energies are from PBE.

Computed properties:
The value obtained for the size of the total moment is 0.00 μB/f.u. For the theoretical density, the calculation gives 17.39 g cm⁻³. The value obtained for the energy above the most stable polymorph in this dataset is 399.4 meV/atom. The calculation puts the uncorrected formation energy at 3.737 eV per formula unit. For the density of states at the Fermi level, the calculation gives 0.80 states/eV per atom.

a = 5.844 Å, b = 5.844 Å, c = 4.432 Å
α = 90.00°, β = 90.00°, γ = 120.00°
Positions (direct):
1 Re 0.163 0.326 0.250
2 Re 0.163 0.837 0.250
3 Re 0.326 0.163 0.750
4 Re 0.674 0.837 0.250
5 Re 0.837 0.163 0.750
6 Re 0.837 0.674 0.750
7 Te 0.333 0.667 0.750
8 Te 0.667 0.333 0.250